Entry 1:
A plane-wave DFT calculation with PBE was carried out for crystalline La4TlGeH at its relaxed geometry.

Lattice parameters (Å, degrees): 9.410 9.410 6.683 90.00 90.00 138.23
Atoms (fractional coordinates):
La  0.000  0.500  0.000
La  0.000  0.500  0.500
La  0.062  0.938  0.750
La  0.430  0.570  0.750
La  0.500  0.000  0.000
La  0.500  0.000  0.500
La  0.570  0.430  0.250
La  0.938  0.062  0.250
Tl  0.388  0.612  0.250
Tl  0.612  0.388  0.750
Ge  0.118  0.882  0.250
Ge  0.882  0.118  0.750
H  0.291  0.709  0.750
H  0.709  0.291  0.250

Results
Total moment, Bohr magnetons per cell: 0.00
Total energy, Ha/atom: -0.176
SG: Cmcm


Entry 2:
A plane-wave DFT calculation with PBE was carried out for crystalline CrHgTe2N at its relaxed geometry.

Lattice parameters (Å, degrees): 5.555 5.555 3.546 90.00 90.00 90.00
Atoms (fractional coordinates):
Cr  0.000  0.000  0.000
Hg  0.500  0.500  0.500
Te  0.000  0.500  0.000
Te  0.500  0.000  0.000
N  0.000  0.000  0.500

Results
Total moment, Bohr magnetons per cell: 1.53
E_form (uncorrected), meV/atom: 175
Relative energy among the computed polymorphs, meV/atom: 0
Total energy, Ha/atom: -0.174
SG: P4/mmm


Entry 3:
A plane-wave DFT calculation with PBE was carried out for crystalline Pr2SbPN5 at its relaxed geometry.

Lattice parameters (Å, degrees): 7.396 7.396 10.428 90.00 90.00 153.65
Atoms (fractional coordinates):
Pr  0.110  0.890  0.500
Pr  0.128  0.872  0.152
Pr  0.872  0.128  0.652
Pr  0.890  0.110  0.000
Sb  0.204  0.796  0.859
Sb  0.796  0.204  0.359
P  0.448  0.552  0.251
P  0.552  0.448  0.751
N  0.032  0.968  0.825
N  0.292  0.708  0.495
N  0.332  0.668  0.219
N  0.344  0.656  0.829
N  0.500  0.500  0.112
N  0.500  0.500  0.612
N  0.656  0.344  0.329
N  0.668  0.332  0.719
N  0.708  0.292  0.995
N  0.968  0.032  0.325

Results
Total moment, Bohr magnetons per cell: 0.00
E_form (uncorrected), meV/atom: -490
Total energy, Ha/atom: -0.266
SG: Cmc2_1


Entry 4:
A plane-wave DFT calculation with PBE was carried out for crystalline MnAl4Co2 at its relaxed geometry.

Lattice parameters (Å, degrees): 6.915 6.915 6.915 34.42 34.42 34.42
Atoms (fractional coordinates):
Mn  0.000  0.000  0.000
Al  0.132  0.132  0.132
Al  0.388  0.388  0.388
Al  0.612  0.612  0.612
Al  0.868  0.868  0.868
Co  0.258  0.258  0.258
Co  0.742  0.742  0.742

Results
Total moment, Bohr magnetons per cell: 3.27
Calculated formation energy, meV/atom: -443
Total energy, Ha/atom: -0.218
SG: R-3m


Entry 5:
A plane-wave DFT calculation with PBE was carried out for crystalline CeYZnNi at its relaxed geometry.

Lattice parameters (Å, degrees): 4.965 4.965 4.965 60.00 60.00 60.00
Atoms (fractional coordinates):
Ce  0.000  0.000  0.000
Y  0.500  0.500  0.500
Zn  0.750  0.750  0.750
Ni  0.250  0.250  0.250

Results
Total moment, Bohr magnetons per cell: 0.33
Calculated formation energy, meV/atom: -240
Total energy, Ha/atom: -0.188
SG: F-43m


Entry 6:
A plane-wave DFT calculation with PBE was carried out for crystalline PmDy8Sc2 at its relaxed geometry.

Lattice parameters (Å, degrees): 9.257 9.257 7.839 104.91 104.91 31.06
Atoms (fractional coordinates):
Pm  0.000  0.000  0.000
Dy  0.095  0.095  0.459
Dy  0.183  0.183  0.912
Dy  0.360  0.360  0.808
Dy  0.452  0.452  0.273
Dy  0.548  0.548  0.727
Dy  0.640  0.640  0.192
Dy  0.817  0.817  0.088
Dy  0.905  0.905  0.541
Sc  0.272  0.272  0.366
Sc  0.728  0.728  0.634

Results
Total moment, Bohr magnetons per cell: 0.00
Calculated formation energy, meV/atom: 38
Relative energy among the computed polymorphs, meV/atom: 0
Total energy, Ha/atom: -0.180
SG: C2/m


Entry 7:
A plane-wave DFT calculation with PBE was carried out for crystalline Bi3TePt at its relaxed geometry.

Lattice parameters (Å, degrees): 8.600 4.308 9.159 90.00 115.30 90.00
Atoms (fractional coordinates):
Bi  0.134  0.250  0.151
Bi  0.185  0.250  0.786
Bi  0.267  0.750  0.513
Bi  0.733  0.250  0.487
Bi  0.815  0.750  0.214
Bi  0.866  0.750  0.849
Te  0.430  0.750  0.215
Te  0.570  0.250  0.785
Pt  0.016  0.250  0.399
Pt  0.984  0.750  0.601

Results
Total moment, Bohr magnetons per cell: 0.00
E_form (uncorrected), meV/atom: -176
Relative energy among the computed polymorphs, meV/atom: 0
Total energy, Ha/atom: -0.160
SG: P2_1/m


Entry 8:
A plane-wave DFT calculation with PBE was carried out for crystalline AlAg4Sb at its relaxed geometry.

Lattice parameters (Å, degrees): 5.560 5.560 5.560 60.00 60.00 60.00
Atoms (fractional coordinates):
Al  0.000  0.000  0.000
Ag  0.375  0.375  0.375
Ag  0.375  0.375  0.876
Ag  0.375  0.876  0.375
Ag  0.876  0.375  0.375
Sb  0.750  0.750  0.750

Results
Total moment, Bohr magnetons per cell: 0.00
E_form (uncorrected), meV/atom: 152
Total energy, Ha/atom: -0.112
SG: F-43m


Entry 9:
A plane-wave DFT calculation with PBE was carried out for crystalline MgCu2Cl at its relaxed geometry.

Lattice parameters (Å, degrees): 5.977 5.977 4.074 109.77 109.77 29.71
Atoms (fractional coordinates):
Mg  0.000  0.000  0.000
Cu  0.261  0.261  0.761
Cu  0.739  0.739  0.239
Cl  0.500  0.500  0.500

Results
Total moment, Bohr magnetons per cell: 0.00
E_form (uncorrected), meV/atom: -92
Relative energy among the computed polymorphs, meV/atom: 173
Total energy, Ha/atom: -0.110
SG: C2/m


Entry 10:
A plane-wave DFT calculation with PBE was carried out for crystalline OsRuSe at its relaxed geometry.

Lattice parameters (Å, degrees): 7.542 7.277 2.786 84.56 73.86 21.58
Atoms (fractional coordinates):
Os  0.000  0.000  0.000
Ru  0.351  0.351  0.649
Se  0.683  0.683  0.317

Results
Total moment, Bohr magnetons per cell: 0.52
E_form (uncorrected), meV/atom: 774
Relative energy among the computed polymorphs, meV/atom: 387
Total energy, Ha/atom: -0.265
SG: Fmm2


Entry 11:
A plane-wave DFT calculation with PBE was carried out for crystalline NaICl6 at its relaxed geometry.

Lattice parameters (Å, degrees): 7.002 7.002 6.743 99.52 99.52 120.11
Atoms (fractional coordinates):
Na  0.000  0.000  0.000
I  0.500  0.500  0.500
Cl  0.138  0.430  0.265
Cl  0.270  0.270  0.713
Cl  0.430  0.138  0.265
Cl  0.570  0.862  0.735
Cl  0.730  0.730  0.287
Cl  0.862  0.570  0.735

Results
Total moment, Bohr magnetons per cell: 0.00
E_form (uncorrected), meV/atom: -517
Relative energy among the computed polymorphs, meV/atom: 10
Total energy, Ha/atom: -0.083
SG: C2/m


Entry 12:
A plane-wave DFT calculation with PBE was carried out for crystalline Pr12Tl4PbO3 at its relaxed geometry.

Lattice parameters (Å, degrees): 9.138 9.138 9.138 109.47 109.47 109.47
Atoms (fractional coordinates):
Pr  0.000  0.277  0.277
Pr  0.000  0.723  0.723
Pr  0.250  0.500  0.750
Pr  0.250  0.750  0.500
Pr  0.277  0.000  0.277
Pr  0.277  0.277  0.000
Pr  0.500  0.250  0.750
Pr  0.500  0.750  0.250
Pr  0.723  0.000  0.723
Pr  0.723  0.723  0.000
Pr  0.750  0.250  0.500
Pr  0.750  0.500  0.250
Tl  0.000  0.000  0.500
Tl  0.000  0.500  0.000
Tl  0.500  0.000  0.000
Tl  0.500  0.500  0.500
Pb  0.000  0.000  0.000
O  0.000  0.500  0.500
O  0.500  0.000  0.500
O  0.500  0.500  0.000

Results
Total moment, Bohr magnetons per cell: 0.00
E_form (uncorrected), meV/atom: -890
Total energy, Ha/atom: -0.190
SG: Im-3m


Entry 13:
A plane-wave DFT calculation with PBE was carried out for crystalline CdNi2Se at its relaxed geometry.

Lattice parameters (Å, degrees): 4.534 4.534 4.534 128.10 117.63 85.37
Atoms (fractional coordinates):
Cd  0.000  0.000  0.000
Ni  0.295  0.795  0.500
Ni  0.705  0.205  0.500
Se  0.500  0.500  0.000

Results
Total moment, Bohr magnetons per cell: 0.00
E_form (uncorrected), meV/atom: 184
Relative energy among the computed polymorphs, meV/atom: 219
Total energy, Ha/atom: -0.140
SG: Immm


Entry 14:
A plane-wave DFT calculation with PBE was carried out for crystalline BIr2WAu at its relaxed geometry.

Lattice parameters (Å, degrees): 4.119 4.119 4.281 90.00 90.00 90.00
Atoms (fractional coordinates):
B  0.000  0.000  0.000
Ir  0.000  0.500  0.000
Ir  0.500  0.000  0.000
W  0.000  0.000  0.500
Au  0.500  0.500  0.500

Results
Total moment, Bohr magnetons per cell: 0.00
Calculated formation energy, meV/atom: 332
Total energy, Ha/atom: -0.286
SG: P4/mmm


Entry 15:
A plane-wave DFT calculation with PBE was carried out for crystalline CuSi2Se4 at its relaxed geometry.

Lattice parameters (Å, degrees): 6.145 6.145 6.145 104.49 104.49 119.96
Atoms (fractional coordinates):
Cu  0.000  0.000  0.000
Si  0.250  0.750  0.500
Si  0.750  0.250  0.500
Se  0.149  0.693  0.842
Se  0.307  0.149  0.456
Se  0.693  0.851  0.544
Se  0.851  0.307  0.158

Results
Total moment, Bohr magnetons per cell: 0.00
E_form (uncorrected), meV/atom: -126
Total energy, Ha/atom: -0.156
SG: I4/m


Entry 16:
A plane-wave DFT calculation with PBE was carried out for crystalline SrHfZn2 at its relaxed geometry.

Lattice parameters (Å, degrees): 5.053 5.053 5.053 60.00 60.00 60.00
Atoms (fractional coordinates):
Sr  0.000  0.000  0.000
Hf  0.500  0.500  0.500
Zn  0.250  0.250  0.250
Zn  0.750  0.750  0.750

Results
Total moment, Bohr magnetons per cell: 0.00
Calculated formation energy, meV/atom: 147
Relative energy among the computed polymorphs, meV/atom: 234
Total energy, Ha/atom: -0.125
SG: Fm-3m


Entry 17:
A plane-wave DFT calculation with PBE was carried out for crystalline KNaSnPt at its relaxed geometry.

Lattice parameters (Å, degrees): 4.690 4.690 6.716 110.47 110.47 59.71
Atoms (fractional coordinates):
K  0.000  0.000  0.000
Na  0.794  0.794  0.380
Sn  0.543  0.543  0.627
Pt  0.204  0.204  0.607

Results
Total moment, Bohr magnetons per cell: 0.00
Calculated formation energy, meV/atom: -308
Total energy, Ha/atom: -0.126
SG: Cm


Entry 18:
A plane-wave DFT calculation with PBE was carried out for crystalline PmAuC at its relaxed geometry.

Lattice parameters (Å, degrees): 3.778 3.987 9.475 98.50 90.03 117.88
Atoms (fractional coordinates):
Pm  0.000  0.000  0.000
Pm  0.198  0.395  0.378
Au  0.634  0.274  0.787
Au  0.919  0.842  0.604
C  0.693  0.389  0.159
C  0.864  0.730  0.241

Results
Total moment, Bohr magnetons per cell: 0.00
Calculated formation energy, meV/atom: -228
Total energy, Ha/atom: -0.220
SG: P1


Entry 19:
A plane-wave DFT calculation with PBE was carried out for crystalline Zr2Ga3Co at its relaxed geometry.

Lattice parameters (Å, degrees): 7.485 7.485 7.485 157.06 137.34 48.98
Atoms (fractional coordinates):
Zr  0.183  0.183  0.000
Zr  0.817  0.817  0.000
Ga  0.000  0.500  0.500
Ga  0.360  0.860  0.500
Ga  0.640  0.140  0.500
Co  0.500  0.500  0.000

Results
Total moment, Bohr magnetons per cell: 1.15
Calculated formation energy, meV/atom: -88
Total energy, Ha/atom: -0.207
SG: Immm


Entry 20:
A plane-wave DFT calculation with PBE was carried out for crystalline SrCaCd2Au4 at its relaxed geometry.

Lattice parameters (Å, degrees): 9.728 9.728 9.728 28.91 28.91 28.91
Atoms (fractional coordinates):
Sr  0.000  0.000  0.000
Ca  0.500  0.500  0.500
Cd  0.244  0.244  0.244
Cd  0.756  0.756  0.756
Au  0.117  0.117  0.117
Au  0.393  0.393  0.393
Au  0.607  0.607  0.607
Au  0.883  0.883  0.883

Results
Total moment, Bohr magnetons per cell: 0.00
Calculated formation energy, meV/atom: -555
Total energy, Ha/atom: -0.106
SG: R-3m